## LuFeTcGe (GGA-PBE)

Data for a geometry-optimized LuFeTcGe structure.

It has space group F-43m (No. 216), with a = 6.272 Å, b = 6.272 Å, c = 6.272 Å, α = 90.00°, β = 90.00° and γ = 90.00°. Symmetry generates all atoms from Lu at (0.000, 0.000, 0.000), Fe at (0.250, 0.250, 0.750), Tc at (0.250, 0.250, 0.250) and Ge at (0.000, 0.000, 0.500).

The calculation puts the mass density at 10.8 g/cm³. As for the crystal system: cubic. The value obtained for the magnetization is 1.89 μB per formula unit. For the total energy, the calculation gives -111.69 eV per cell.


## CsSmSiS4 (GGA-PBE)

Data for a geometry-optimized CsSmSiS4 structure.

It has space group P2_12_12_1 (No. 19), with a = 6.453 Å, b = 6.766 Å, c = 17.938 Å, α = 90.00°, β = 90.00° and γ = 90.00°. Symmetry generates all atoms from Cs at (0.001, 0.007, 0.467), Sm at (0.208, 0.020, 0.729), Si at (0.210, 0.516, 0.333), S at (0.051, 0.012, 0.096), S at (0.070, 0.254, 0.855), S at (0.107, 0.748, 0.846) and S at (0.115, 0.569, 0.221).

The calculation puts the mass density at 3.7 g/cm³. As for the crystal system: orthorhombic. The value obtained for the magnetization is 0.00 μB per formula unit. For the total energy, the calculation gives -150.78 eV per cell.


## ErNiC2 (GGA-PBE)

Data for a geometry-optimized ErNiC2 structure.

It has space group Amm2 (No. 38), with a = 3.526 Å, b = 4.510 Å, c = 5.979 Å, α = 90.00°, β = 90.00° and γ = 90.00°. Symmetry generates all atoms from Er at (0.000, 0.000, 0.000), Ni at (0.500, 0.000, 0.388) and C at (0.500, 0.153, 0.699).

The calculation puts the mass density at 8.7 g/cm³. As for the crystal system: orthorhombic. The value obtained for the magnetization is 0.00 μB per formula unit. For the total energy, the calculation gives -59.88 eV per cell.


## KScBAu (GGA-PBE)

Data for a geometry-optimized KScBAu structure.

It has space group F-43m (No. 216), with a = 6.868 Å, b = 6.868 Å, c = 6.868 Å, α = 90.00°, β = 90.00° and γ = 90.00°. Symmetry generates all atoms from K at (0.000, 0.000, 0.000), Sc at (0.000, 0.000, 0.500), B at (0.250, 0.250, 0.250) and Au at (0.250, 0.250, 0.750).

The calculation puts the mass density at 6.0 g/cm³. As for the crystal system: cubic. The value obtained for the magnetization is 0.00 μB per formula unit. For the total energy, the calculation gives -58.95 eV per cell.


## Li2AlZn2CdAg2 (GGA-PBE)

Data for a geometry-optimized Li2AlZn2CdAg2 structure.

It has space group P-4m2 (No. 115), with a = 4.479 Å, b = 4.479 Å, c = 6.384 Å, α = 90.00°, β = 90.00° and γ = 90.00°. Symmetry generates all atoms from Li at (0.000, 0.000, 0.000), Li at (0.500, 0.500, 0.500), Al at (0.000, 0.000, 0.500), Zn at (0.000, 0.500, 0.262), Cd at (0.500, 0.500, 0.000) and Ag at (0.000, 0.500, 0.728).

The calculation puts the mass density at 6.5 g/cm³. As for the crystal system: tetragonal. For the total energy, the calculation gives -18.10 eV per cell.


## SrGdBe (GGA-PBE)

Data for a geometry-optimized SrGdBe structure.

It has space group F-43m (No. 216), with a = 7.169 Å, b = 7.169 Å, c = 7.169 Å, α = 90.00°, β = 90.00° and γ = 90.00°. Symmetry generates all atoms from Sr at (0.000, 0.000, 0.000), Gd at (0.000, 0.000, 0.500) and Be at (0.250, 0.250, 0.750).

The calculation puts the mass density at 4.6 g/cm³. As for the crystal system: cubic. The value obtained for the magnetization is 0.02 μB per formula unit. For the total energy, the calculation gives -34.21 eV per cell.


## CoAgBMo (GGA-PBE)

Data for a geometry-optimized CoAgBMo structure.

It has space group F-43m (No. 216), with a = 5.882 Å, b = 5.882 Å, c = 5.882 Å, α = 90.00°, β = 90.00° and γ = 90.00°. Symmetry generates all atoms from Co at (0.000, 0.000, 0.000), Ag at (0.250, 0.250, 0.250), B at (0.250, 0.250, 0.750) and Mo at (0.000, 0.000, 0.500).

The calculation puts the mass density at 8.9 g/cm³. As for the crystal system: cubic. The value obtained for the magnetization is 1.21 μB per formula unit. For the total energy, the calculation gives -96.29 eV per cell.


## ZrTaNiPb (GGA-PBE)

Data for a geometry-optimized ZrTaNiPb structure.

It has space group F-43m (No. 216), with a = 6.784 Å, b = 6.784 Å, c = 6.784 Å, α = 90.00°, β = 90.00° and γ = 90.00°. Symmetry generates all atoms from Zr at (0.000, 0.000, 0.000), Ta at (0.250, 0.250, 0.250), Ni at (0.250, 0.250, 0.750) and Pb at (0.000, 0.000, 0.500).

The calculation puts the mass density at 11.4 g/cm³. As for the crystal system: cubic. The value obtained for the magnetization is 1.49 μB per formula unit. For the total energy, the calculation gives -111.39 eV per cell.


## PmZnIr (GGA-PBE)

Data for a geometry-optimized PmZnIr structure.

It has space group F-43m (No. 216), with a = 6.525 Å, b = 6.525 Å, c = 6.525 Å, α = 90.00°, β = 90.00° and γ = 90.00°. Symmetry generates all atoms from Pm at (0.000, 0.000, 0.000), Zn at (0.000, 0.000, 0.500) and Ir at (0.250, 0.250, 0.750).

The calculation puts the mass density at 9.6 g/cm³. The value obtained for the formation energy is -0.3904 eV per atom. As for the crystal system: cubic. The value obtained for the magnetization is 0.00 μB per formula unit.


## Hf11N12 (GGA-PBE)

Data for a geometry-optimized Hf11N12 structure.

It has space group P-1 (No. 2), with a = 6.372 Å, b = 7.114 Å, c = 7.126 Å, α = 95.65°, β = 102.88° and γ = 116.60°. Symmetry generates all atoms from Hf at (0.000, 0.000, 0.000), Hf at (0.007, 0.672, 0.674), Hf at (0.251, 0.836, 0.320), Hf at (0.255, 0.165, 0.675), Hf at (0.261, 0.520, 0.000), Hf at (0.498, 0.326, 0.325), N at (0.109, 0.741, 0.997), N at (0.124, 0.416, 0.666), N at (0.126, 0.084, 0.336), N at (0.367, 0.257, 0.001), N at (0.369, 0.912, 0.652) and N at (0.376, 0.584, 0.335).

The calculation puts the mass density at 12.9 g/cm³. As for the crystal system: triclinic. The value obtained for the magnetization is 0.01 μB per formula unit. For the total energy, the calculation gives -249.91 eV per cell.


## Tm3Se2Cl2O6 (GGA-PBE)

Data for a geometry-optimized Tm3Se2Cl2O6 structure.

It has space group C2/m (No. 12), with a = 10.318 Å, b = 6.838 Å, c = 7.243 Å, α = 90.00°, β = 116.34° and γ = 90.00°. Symmetry generates all atoms from Tm at (0.000, 0.000, 0.000), Tm at (0.030, 0.500, 0.801), Se at (0.117, 0.000, 0.656), Cl at (0.230, 0.500, 0.648), O at (0.064, 0.181, 0.801) and O at (0.140, 0.500, 0.116).

The calculation puts the mass density at 6.0 g/cm³. As for the crystal system: monoclinic. The value obtained for the magnetization is 0.92 μB per formula unit. For the total energy, the calculation gives -159.62 eV per cell.


## NaUAl (GGA-PBE)

Data for a geometry-optimized NaUAl structure.

It has space group F-43m (No. 216), with a = 7.064 Å, b = 7.064 Å, c = 7.064 Å, α = 90.00°, β = 90.00° and γ = 90.00°. Symmetry generates all atoms from Na at (0.000, 0.000, 0.000), U at (0.250, 0.250, 0.750) and Al at (0.000, 0.000, 0.500).

The calculation puts the mass density at 5.4 g/cm³. As for the crystal system: cubic. The value obtained for the magnetization is 3.30 μB per formula unit. For the total energy, the calculation gives -48.89 eV per cell.


## NaAcNb (GGA-PBE)

Data for a geometry-optimized NaAcNb structure.

It has space group F-43m (No. 216), with a = 7.562 Å, b = 7.562 Å, c = 7.562 Å, α = 90.00°, β = 90.00° and γ = 90.00°. Symmetry generates all atoms from Na at (0.000, 0.000, 0.000), Ac at (0.250, 0.250, 0.250) and Nb at (0.000, 0.000, 0.500).

The calculation puts the mass density at 5.3 g/cm³. As for the crystal system: cubic. The value obtained for the magnetization is 3.40 μB per formula unit. For the total energy, the calculation gives -43.64 eV per cell.


## NbCuSiHg (GGA-PBE)

Data for a geometry-optimized NbCuSiHg structure.

It has space group F-43m (No. 216), with a = 6.425 Å, b = 6.425 Å, c = 6.425 Å, α = 90.00°, β = 90.00° and γ = 90.00°. Symmetry generates all atoms from Nb at (0.000, 0.000, 0.000), Cu at (0.000, 0.000, 0.500), Si at (0.250, 0.250, 0.250) and Hg at (0.250, 0.250, 0.750).

The calculation puts the mass density at 9.6 g/cm³. As for the crystal system: cubic. The value obtained for the magnetization is 0.99 μB per formula unit. For the total energy, the calculation gives -72.33 eV per cell.


## IrBrCl2 (GGA-PBE)

Data for a geometry-optimized IrBrCl2 structure.

It has space group C2/m (No. 12), with a = 6.142 Å, b = 10.970 Å, c = 6.306 Å, α = 90.00°, β = 108.19° and γ = 90.00°. Symmetry generates all atoms from Ir at (0.000, 0.169, 0.000), Br at (0.227, 0.000, 0.231) and Cl at (0.247, 0.321, 0.216).

The calculation puts the mass density at 5.6 g/cm³. As for the crystal system: monoclinic. The value obtained for the magnetization is 0.00 μB per formula unit. For the total energy, the calculation gives -63.38 eV per cell.


## K5Sb2Au (GGA-PBE)

Data for a geometry-optimized K5Sb2Au structure.

It has space group P6_3/mmc (No. 194), with a = 6.0172 Å, b = 6.0172 Å, c = 20.6544 Å, α = 90.00°, β = 90.00° and γ = 120.00°. Symmetry generates all atoms from K at (0.0000, 0.0000, 0.1476), K at (0.3333, 0.6667, 0.0505), K at (0.3333, 0.6667, 0.2500), Sb at (0.3333, 0.6667, 0.6203) and Au at (0.3333, 0.6667, 0.7500).

The calculation puts the mass density at 3.3 g/cm³. As for the crystal system: hexagonal. For the total energy, the calculation gives -41.73 eV per cell.


## SrTcAsO (GGA-PBE)

Data for a geometry-optimized SrTcAsO structure.

It has space group P4/nmm (No. 129, origin choice 2), with a = 4.372 Å, b = 4.372 Å, c = 9.342 Å, α = 90.00°, β = 90.00° and γ = 90.00°. Symmetry generates all atoms from Sr at (0.250, 0.750, 0.000), Tc at (0.250, 0.250, 0.475), As at (0.250, 0.250, 0.222) and O at (0.250, 0.750, 0.500).

The calculation puts the mass density at 5.1 g/cm³. As for the crystal system: tetragonal. The value obtained for the magnetization is 2.45 μB per formula unit. For the total energy, the calculation gives -43.27 eV per cell.


## RbAuNO (GGA-PBE)

Data for a geometry-optimized RbAuNO structure.

It has space group P4/nmm (No. 129, origin choice 2), with a = 4.863 Å, b = 4.863 Å, c = 6.171 Å, α = 90.00°, β = 90.00° and γ = 90.00°. Symmetry generates all atoms from Rb at (0.250, 0.750, 0.000), Au at (0.250, 0.250, 0.488), N at (0.250, 0.250, 0.176) and O at (0.250, 0.750, 0.500).

The calculation puts the mass density at 7.1 g/cm³. As for the crystal system: tetragonal. For the total energy, the calculation gives -26.98 eV per cell.


## TbPrNi4 (GGA-PBE)

Data for a geometry-optimized TbPrNi4 structure.

It has space group P6/mmm (No. 191), with a = 5.4237 Å, b = 5.4237 Å, c = 8.0279 Å, α = 90.00°, β = 90.00° and γ = 120.00°. Symmetry generates all atoms from Tb at (0.3333, 0.6667, 0.0000), Pr at (0.0000, 0.0000, 0.0000), Pr at (0.0000, 0.0000, 0.5000), Ni at (0.0000, 0.5000, 0.2750) and Ni at (0.3333, 0.6667, 0.5000).

The calculation puts the mass density at 8.7 g/cm³. The value obtained for the formation energy is -0.0061 eV per atom. As for the crystal system: hexagonal. The value obtained for the magnetization is 0.02 μB per formula unit.


## Li4GaAsPd2 (GGA-PBE)

Data for a geometry-optimized Li4GaAsPd2 structure.

It has space group P-4m2 (No. 115), with a = 4.294 Å, b = 4.294 Å, c = 6.070 Å, α = 90.00°, β = 90.00° and γ = 90.00°. Symmetry generates all atoms from Li at (0.000, 0.000, 0.000), Li at (0.000, 0.500, 0.249), Li at (0.500, 0.500, 0.500), Ga at (0.000, 0.000, 0.500), As at (0.500, 0.500, 0.000) and Pd at (0.000, 0.500, 0.750).

The calculation puts the mass density at 5.7 g/cm³. As for the crystal system: tetragonal. For the total energy, the calculation gives -30.41 eV per cell.


## Dy2LuFe2Co7 (GGA-PBE)

Data for a geometry-optimized Dy2LuFe2Co7 structure.

It has space group R-3m (No. 166, hexagonal axes), with a = 5.0148 Å, b = 5.0148 Å, c = 23.8000 Å, α = 90.00°, β = 90.00° and γ = 120.00°. Symmetry generates all atoms from Dy at (0.0000, 0.0000, 0.1402), Lu at (0.0000, 0.0000, 0.0000), Fe at (0.0000, 0.0000, 0.3340), Co at (0.0000, 0.0000, 0.5000) and Co at (0.0021, 0.5010, 0.9186).

The calculation puts the mass density at 9.8 g/cm³. The value obtained for the formation energy is -0.1901 eV per atom. As for the crystal system: trigonal. The value obtained for the magnetization is 12.65 μB per formula unit.


## AcGaFe (GGA-PBE)

Data for a geometry-optimized AcGaFe structure.

It has space group F-43m (No. 216), with a = 6.571 Å, b = 6.571 Å, c = 6.571 Å, α = 90.00°, β = 90.00° and γ = 90.00°. Symmetry generates all atoms from Ac at (0.000, 0.000, 0.000), Ga at (0.000, 0.000, 0.500) and Fe at (0.250, 0.250, 0.750).

The calculation puts the mass density at 8.3 g/cm³. As for the crystal system: cubic. The value obtained for the magnetization is 1.25 μB per formula unit. For the total energy, the calculation gives -59.57 eV per cell.


## ZrNiHgAs (GGA-PBE)

Data for a geometry-optimized ZrNiHgAs structure.

It has space group F-43m (No. 216), with a = 6.666 Å, b = 6.666 Å, c = 6.666 Å, α = 90.00°, β = 90.00° and γ = 90.00°. Symmetry generates all atoms from Zr at (0.000, 0.000, 0.000), Ni at (0.250, 0.250, 0.750), Hg at (0.250, 0.250, 0.250) and As at (0.000, 0.000, 0.500).

The calculation puts the mass density at 9.5 g/cm³. As for the crystal system: cubic. The value obtained for the magnetization is 0.02 μB per formula unit. For the total energy, the calculation gives -74.73 eV per cell.


## Dy2YSn3PdPt2 (GGA-PBE)

Data for a geometry-optimized Dy2YSn3PdPt2 structure.

It has space group Amm2 (No. 38), with a = 4.017 Å, b = 13.066 Å, c = 7.519 Å, α = 90.00°, β = 90.00° and γ = 90.00°. Symmetry generates all atoms from Dy at (0.000, 0.204, 0.000), Y at (0.000, 0.000, 0.388), Sn at (0.500, 0.000, 0.053), Sn at (0.500, 0.129, 0.667), Pd at (0.000, 0.000, 0.797) and Pt at (0.500, 0.167, 0.295).

The calculation puts the mass density at 10.7 g/cm³. As for the crystal system: orthorhombic. The value obtained for the magnetization is 0.00 μB per formula unit. For the total energy, the calculation gives -108.85 eV per cell.


## Mg2GaRe (GGA-PBE)

Data for a geometry-optimized Mg2GaRe structure.

It has space group F-43m (No. 216), with a = 6.392 Å, b = 6.392 Å, c = 6.392 Å, α = 90.00°, β = 90.00° and γ = 90.00°. Symmetry generates all atoms from Mg at (0.000, 0.000, 0.000), Mg at (0.250, 0.250, 0.250), Ga at (0.000, 0.000, 0.500) and Re at (0.250, 0.250, 0.750).

The calculation puts the mass density at 7.7 g/cm³. As for the crystal system: cubic. The value obtained for the magnetization is 0.00 μB per formula unit. For the total energy, the calculation gives -69.84 eV per cell.